# Rb2Tl3GaI6 | the Alexandria database | GGA-PBE | optimized geometry
data_Rb2Tl3GaI6
_space_group_name_H-M_alt 'C 1 2/m 1'
_space_group_IT_number 12
_cell_length_a 22.036
_cell_length_b 5.059
_cell_length_c 10.138
_cell_angle_alpha 90.00
_cell_angle_beta 102.80
_cell_angle_gamma 90.00
loop_
_space_group_symop_operation_xyz
'x,y,z'
'-x,-y,-z'
'-x,y,-z'
'x,-y,z'
'x+1/2,y+1/2,z'
'-x+1/2,-y+1/2,-z'
'-x+1/2,y+1/2,-z'
'x+1/2,-y+1/2,z'
loop_
_atom_site_label
_atom_site_fract_x
_atom_site_fract_y
_atom_site_fract_z
Rb1 0.165 0.000 0.328
Tl1 0.000 0.500 0.500
Tl2 0.167 0.000 0.835
Ga1 0.000 0.500 0.000
I1 0.004 0.000 0.765
I2 0.158 0.500 0.069
I3 0.164 0.500 0.587
# Uncorrected energy (Ha/atom): -0.0976
# V (Å³/atom): 45.9
# N(E_F) (states/eV per atom): 0.00
# Formation energy (no corrections) (kcal/mol of atoms): -20.2

# Nd6S8Br | the Alexandria database | GGA-PBE | optimized geometry
data_Nd6S8Br
_space_group_name_H-M_alt 'R -3'
_space_group_IT_number 148
_space_group_name_Hall '-R 3'
_cell_length_a 8.0747
_cell_length_b 8.0747
_cell_length_c 20.8968
_cell_angle_alpha 90.00
_cell_angle_beta 90.00
_cell_angle_gamma 120.00
loop_
_atom_site_label
_atom_site_fract_x
_atom_site_fract_y
_atom_site_fract_z
Nd1 0.0021 0.6426 0.0839
S1 0.0000 0.0000 0.3321
S2 0.0013 0.3116 0.1142
Br1 0.0000 0.0000 0.0000
# Uncorrected energy (Ha/atom): -0.2261
# V (Å³/atom): 26.2
# N(E_F) (states/eV per atom): 0.37
# Formation energy (no corrections) (kcal/mol of atoms): -44.5

# Cu2Sn2Se3 | the Alexandria database | GGA-PBE | optimized geometry
data_Cu2Sn2Se3
_space_group_name_H-M_alt 'P 1 21/c 1'
_space_group_IT_number 14
_cell_length_a 6.359
_cell_length_b 7.925
_cell_length_c 7.233
_cell_angle_alpha 90.00
_cell_angle_beta 120.03
_cell_angle_gamma 90.00
loop_
_space_group_symop_operation_xyz
'x,y,z'
'-x,-y,-z'
'-x,y+1/2,-z+1/2'
'x,-y+1/2,z+1/2'
loop_
_atom_site_label
_atom_site_fract_x
_atom_site_fract_y
_atom_site_fract_z
Cu1 0.082 0.120 0.423
Sn1 0.321 0.680 0.596
Se1 0.182 0.109 0.814
Se2 0.500 0.000 0.500
# Uncorrected energy (Ha/atom): -0.1476
# V (Å³/atom): 22.5
# N(E_F) (states/eV per atom): 0.08
# Formation energy (no corrections) (kcal/mol of atoms): -4.8

# Tb5Ag4Au | the Alexandria database | GGA-PBE | optimized geometry
data_Tb5Ag4Au
_space_group_name_H-M_alt 'P 4/m m m'
_space_group_IT_number 123
_space_group_name_Hall '-P 4 2'
_cell_length_a 3.618
_cell_length_b 3.618
_cell_length_c 18.463
_cell_angle_alpha 90.00
_cell_angle_beta 90.00
_cell_angle_gamma 90.00
loop_
_atom_site_label
_atom_site_fract_x
_atom_site_fract_y
_atom_site_fract_z
Tb1 0.000 0.000 0.000
Tb2 0.000 0.000 0.201
Tb3 0.000 0.000 0.403
Ag1 0.500 0.500 0.101
Ag2 0.500 0.500 0.300
Au1 0.500 0.500 0.500
# Uncorrected energy (Ha/atom): -0.1547
# E_form (eV/atom): -0.4272
# V (Å³/atom): 24.2
# N(E_F) (states/eV per atom): 0.44

Q: Among the records above, which one has the lowest V?
A: Cu2Sn2Se3

Q: Which formula does entry 4 have?
A: Tb5Ag4Au

Q: Which value of V does entry 3 give?
A: 22.5 Å³/atom

Q: The lowest N(E_F) belongs to which entry?
A: Rb2Tl3GaI6